Entry 1:
DFT (PBE-GGA) results for crystalline GaFeCuH2 at its relaxed geometry.

```
GaFeCuH2
1.0
3.355 0.000 0.000
0.000 3.355 0.000
0.000 0.000 5.090
Ga Fe Cu H
1 1 1 2
Direct
0.000 0.000 0.000
0.000 0.000 0.500
0.500 0.500 0.000
0.000 0.500 0.500
0.500 0.000 0.500
```

SG: P4/mmm, No. 123
Electronic total energy in eV per atom: -3.995

***

Entry 2:
DFT (PBE-GGA) results for crystalline GaFeCu2H at its relaxed geometry.

```
GaFeCu2H
1.0
4.561 0.000 0.000
0.000 4.561 0.000
0.000 0.000 3.040
Ga Fe Cu H
1 1 2 1
Direct
0.000 0.000 0.000
0.500 0.500 0.500
0.000 0.500 0.000
0.500 0.000 0.000
0.000 0.000 0.500
```

Relative energy among the computed polymorphs in meV/atom: 735
SG: P4/mmm, No. 123
Electronic total energy in eV per atom: -3.853

***

Entry 3:
DFT (PBE-GGA) results for crystalline HfGaFeCu at its relaxed geometry.

```
HfGaFeCu
1.0
0.000 3.077 3.077
3.077 0.000 3.077
3.077 3.077 0.000
Hf Ga Fe Cu
1 1 1 1
Direct
0.000 0.000 0.000
0.500 0.500 0.500
0.250 0.250 0.250
0.750 0.750 0.750
```

ΔE_f in eV/atom: -0.18
SG: F-43m, No. 216
Electronic total energy in eV per atom: -6.561

***

Entry 4:
DFT (PBE-GGA) results for crystalline GaFeCuIr at its relaxed geometry.

```
GaFeCuIr
1.0
0.000 2.995 2.995
2.995 0.000 2.995
2.995 2.995 0.000
Ga Fe Cu Ir
1 1 1 1
Direct
0.000 0.000 0.000
0.500 0.500 0.500
0.750 0.750 0.750
0.250 0.250 0.250
```

ΔE_f in eV/atom: -0.13
SG: F-43m, No. 216
Electronic total energy in eV per atom: -6.238

***

Entry 5:
DFT (PBE-GGA) results for crystalline MnGaFeCu at its relaxed geometry.

```
MnGaFeCu
1.0
0.000 2.924 2.924
2.924 0.000 2.924
2.924 2.924 0.000
Mn Ga Fe Cu
1 1 1 1
Direct
0.000 0.000 0.000
0.500 0.500 0.500
0.750 0.750 0.750
0.250 0.250 0.250
```

ΔE_f in eV/atom: 0.02
SG: F-43m, No. 216
Electronic total energy in eV per atom: -6.169

***

Entry 6:
DFT (PBE-GGA) results for crystalline MnGa2FeCu at its relaxed geometry.

```
MnGa2FeCu
1.0
4.577 0.000 0.000
0.000 4.577 0.000
0.000 0.000 4.174
Mn Ga Fe Cu
1 2 1 1
Direct
0.000 0.000 0.000
0.000 0.500 0.000
0.500 0.000 0.000
0.000 0.000 0.500
0.500 0.500 0.500
```

ΔE_f in eV/atom: 0.77
SG: P4/mmm, No. 123
Electronic total energy in eV per atom: -4.787

***

Entry 7:
DFT (PBE-GGA) results for crystalline GaFeCuMo at its relaxed geometry.

```
GaFeCuMo
1.0
0.000 2.968 2.968
2.968 0.000 2.968
2.968 2.968 0.000
Ga Fe Cu Mo
1 1 1 1
Direct
0.000 0.000 0.000
0.750 0.750 0.750
0.250 0.250 0.250
0.500 0.500 0.500
```

ΔE_f in eV/atom: 0.07
SG: F-43m, No. 216
Electronic total energy in eV per atom: -6.538

***

Entry 8:
DFT (PBE-GGA) results for crystalline NbGaFe2Cu at its relaxed geometry.

```
NbGaFe2Cu
1.0
4.501 0.000 0.000
0.000 4.501 0.000
0.000 0.000 5.037
Nb Ga Fe Cu
1 1 2 1
Direct
0.000 0.000 0.000
0.000 0.000 0.500
0.000 0.500 0.000
0.500 0.000 0.000
0.500 0.500 0.500
```

ΔE_f in eV/atom: 1.42
SG: P4/mmm, No. 123
Electronic total energy in eV per atom: -5.402

***

Entry 9:
DFT (PBE-GGA) results for crystalline GaFeCuOs at its relaxed geometry.

```
GaFeCuOs
1.0
0.000 2.986 2.986
2.986 0.000 2.986
2.986 2.986 0.000
Ga Fe Cu Os
1 1 1 1
Direct
0.000 0.000 0.000
0.500 0.500 0.500
0.750 0.750 0.750
0.250 0.250 0.250
```

ΔE_f in eV/atom: 0.11
SG: F-43m, No. 216
Electronic total energy in eV per atom: -6.599

***

Entry 10:
DFT (PBE-GGA) results for crystalline GaFeCu2Os at its relaxed geometry.

```
GaFeCu2Os
1.0
4.269 0.000 0.000
0.000 4.269 0.000
0.000 0.000 4.453
Ga Fe Cu Os
1 1 2 1
Direct
0.000 0.000 0.000
0.000 0.000 0.500
0.000 0.500 0.000
0.500 0.000 0.000
0.500 0.500 0.500
```

ΔE_f in eV/atom: 1.33
SG: P4/mmm, No. 123
Electronic total energy in eV per atom: -4.848

***

Entry 11:
DFT (PBE-GGA) results for crystalline GaFeCu2P at its relaxed geometry.

```
GaFeCu2P
1.0
4.172 0.000 0.000
0.000 4.172 0.000
0.000 0.000 4.948
Ga Fe Cu P
1 1 2 1
Direct
0.000 0.000 0.000
0.500 0.500 0.000
0.000 0.500 0.500
0.500 0.000 0.500
0.000 0.000 0.500
```

ΔE_f in eV/atom: 0.67
SG: P4/mmm, No. 123
Electronic total energy in eV per atom: -4.344

***

Entry 12:
DFT (PBE-GGA) results for crystalline GaFeCuRu at its relaxed geometry.

```
GaFeCuRu
1.0
0.000 2.976 2.976
2.976 0.000 2.976
2.976 2.976 0.000
Ga Fe Cu Ru
1 1 1 1
Direct
0.000 0.000 0.000
0.500 0.500 0.500
0.250 0.250 0.250
0.750 0.750 0.750
```

ΔE_f in eV/atom: -0.05
SG: F-43m, No. 216
Electronic total energy in eV per atom: -6.261

***

Entry 13:
DFT (PBE-GGA) results for crystalline ScGa2FeCu at its relaxed geometry.

```
ScGa2FeCu
1.0
4.458 0.000 0.000
0.000 4.458 0.000
0.000 0.000 4.590
Sc Ga Fe Cu
1 2 1 1
Direct
0.000 0.000 0.000
0.000 0.500 0.500
0.500 0.000 0.500
0.500 0.500 0.000
0.500 0.500 0.500
```

ΔE_f in eV/atom: 0.23
SG: P4/mmm, No. 123
Electronic total energy in eV per atom: -4.760

***

Entry 14:
DFT (PBE-GGA) results for crystalline Sc2Ga5Fe2Cu at its relaxed geometry.

```
Sc2Ga5Fe2Cu
1.0
8.883 0.000 0.000
0.000 8.883 0.000
0.000 0.000 3.991
Sc Ga Fe Cu
4 10 4 2
Direct
0.185 0.315 0.000
0.315 0.815 0.000
0.685 0.185 0.000
0.815 0.685 0.000
0.000 0.500 0.500
0.063 0.793 0.500
0.207 0.063 0.500
0.293 0.563 0.500
0.437 0.293 0.500
0.500 0.000 0.500
0.563 0.707 0.500
0.707 0.437 0.500
0.793 0.937 0.500
0.937 0.207 0.500
0.106 0.606 0.000
0.394 0.106 0.000
0.606 0.894 0.000
0.894 0.394 0.000
0.000 0.000 0.000
0.500 0.500 0.000
```

ΔE_f in eV/atom: -0.27
SG: P4/mbm, No. 127
Electronic total energy in eV per atom: -5.153

***

Entry 15:
DFT (PBE-GGA) results for crystalline ScGaFeCu at its relaxed geometry.

```
ScGaFeCu
1.0
0.000 3.057 3.057
3.057 0.000 3.057
3.057 3.057 0.000
Sc Ga Fe Cu
1 1 1 1
Direct
0.000 0.000 0.000
0.500 0.500 0.500
0.750 0.750 0.750
0.250 0.250 0.250
```

ΔE_f in eV/atom: -0.17
SG: F-43m, No. 216
Electronic total energy in eV per atom: -5.649

***

Entry 16:
DFT (PBE-GGA) results for crystalline SrGaFe2Cu at its relaxed geometry.

```
SrGaFe2Cu
1.0
4.827 0.000 0.000
0.000 4.827 0.000
0.000 0.000 4.900
Sr Ga Fe Cu
1 1 2 1
Direct
0.000 0.000 0.000
0.500 0.500 0.500
0.000 0.500 0.000
0.500 0.000 0.000
0.000 0.000 0.500
```

ΔE_f in eV/atom: 1.97
SG: P4/mmm, No. 123
Electronic total energy in eV per atom: -3.177

***

Entry 17:
DFT (PBE-GGA) results for crystalline TaGaFeCu at its relaxed geometry.

```
TaGaFeCu
1.0
0.000 3.017 3.017
3.017 0.000 3.017
3.017 3.017 0.000
Ta Ga Fe Cu
1 1 1 1
Direct
0.000 0.000 0.000
0.500 0.500 0.500
0.250 0.250 0.250
0.750 0.750 0.750
```

ΔE_f in eV/atom: -0.07
SG: F-43m, No. 216
Electronic total energy in eV per atom: -6.927

***

Entry 18:
DFT (PBE-GGA) results for crystalline TbGa3FeCu at its relaxed geometry.

```
TbGa3FeCu
1.0
3.840 -5.217 0.000
3.840 5.217 0.000
0.000 0.000 5.587
Tb Ga Fe Cu
2 6 2 2
Direct
0.204 0.796 0.750
0.796 0.204 0.250
0.239 0.239 0.000
0.239 0.239 0.500
0.295 0.705 0.250
0.705 0.295 0.750
0.761 0.761 0.000
0.761 0.761 0.500
0.072 0.928 0.250
0.928 0.072 0.750
0.478 0.522 0.750
0.522 0.478 0.250
```

ΔE_f in eV/atom: -0.10
SG: Cmcm, No. 63
Electronic total energy in eV per atom: -4.476

***

Entry 19:
DFT (PBE-GGA) results for crystalline TmGa3FeCu at its relaxed geometry.

```
TmGa3FeCu
1.0
3.927 -5.171 0.000
3.927 5.171 0.000
0.000 0.000 5.406
Tm Ga Fe Cu
2 6 2 2
Direct
0.194 0.806 0.750
0.806 0.194 0.250
0.240 0.240 0.000
0.240 0.240 0.500
0.302 0.698 0.250
0.698 0.302 0.750
0.760 0.760 0.000
0.760 0.760 0.500
0.076 0.924 0.250
0.924 0.076 0.750
0.464 0.536 0.750
0.536 0.464 0.250
```

ΔE_f in eV/atom: -0.09
SG: Cmcm, No. 63
Electronic total energy in eV per atom: -4.444

***

Entry 20:
DFT (PBE-GGA) results for crystalline VGaFeCu at its relaxed geometry.

```
VGaFeCu
1.0
0.000 2.932 2.932
2.932 0.000 2.932
2.932 2.932 0.000
V Ga Fe Cu
1 1 1 1
Direct
0.000 0.000 0.000
0.500 0.500 0.500
0.750 0.750 0.750
0.250 0.250 0.250
```

ΔE_f in eV/atom: -0.07
SG: F-43m, No. 216
Electronic total energy in eV per atom: -6.248